1.
A relaxed structure of TbScCO. Source: the Alexandria database, functional PBE-GGA.

Results
Calculated volume, A^3/atom: 14.00
Total energy, eV per atom: -7.560
Density of states at the Fermi level, states/eV/f.u.: 0.890
Total magnetic moment, Bohr magnetons per cell: 0.00
Formation energy without anion corrections, meV/atom: -1274

Structure (CIF):
```
data_TbScCO
_symmetry_space_group_name_H-M 'I m m 2'
_symmetry_Int_Tables_number 44
_symmetry_space_group_name_Hall 'I 2 -2'
_cell_length_a 3.051
_cell_length_b 3.181
_cell_length_c 11.538
_cell_angle_alpha 90.00
_cell_angle_beta 90.00
_cell_angle_gamma 90.00
loop_
_atom_site_label
_atom_site_type_symbol
_atom_site_fract_x
_atom_site_fract_y
_atom_site_fract_z
Tb1 Tb 0.000 0.000 0.000
Sc1 Sc 0.000 0.500 0.255
C1 C 0.000 0.500 0.833
O1 O 0.000 0.000 0.589
```

---

2.
A relaxed structure of AsPb2C. Source: the Alexandria database, functional PBE-GGA.

Results
Calculated volume, A^3/atom: 26.86
Total energy, eV per atom: -4.414
Formation energy, eV/atom: 0.909
Density of states at the Fermi level, states/eV/f.u.: 1.766
Total magnetic moment, Bohr magnetons per cell: 0.00
Energy above the lowest structure with this stoichiometry, meV per atom: 0.0

Structure (CIF):
```
data_AsPb2C
_symmetry_space_group_name_H-M 'I -4 2 d'
_symmetry_Int_Tables_number 122
_symmetry_space_group_name_Hall 'I -4 2bw'
_cell_length_a 6.076
_cell_length_b 6.076
_cell_length_c 11.641
_cell_angle_alpha 90.00
_cell_angle_beta 90.00
_cell_angle_gamma 90.00
loop_
_atom_site_label
_atom_site_type_symbol
_atom_site_fract_x
_atom_site_fract_y
_atom_site_fract_z
As1 As 0.000 0.000 0.000
Pb1 Pb 0.189 0.250 0.625
C1 C 0.000 0.000 0.500
```

---

3.
A relaxed structure of Ac8TbY5. Source: the Alexandria database, functional PBE-GGA.

Results
Calculated volume, A^3/atom: 39.14
Total energy, eV per atom: -4.938
Formation energy, eV/atom: 0.049
Density of states at the Fermi level, states/eV/f.u.: 21.252
Total magnetic moment, Bohr magnetons per cell: 0.00

Structure (CIF):
```
data_Ac8TbY5
_symmetry_space_group_name_H-M 'P 1'
_symmetry_Int_Tables_number 1
_symmetry_space_group_name_Hall 'P 1'
_cell_length_a 7.594
_cell_length_b 8.559
_cell_length_c 9.339
_cell_angle_alpha 111.25
_cell_angle_beta 90.99
_cell_angle_gamma 103.02
loop_
_atom_site_label
_atom_site_type_symbol
_atom_site_fract_x
_atom_site_fract_y
_atom_site_fract_z
Ac1 Ac 0.000 0.000 0.000
Ac2 Ac 0.066 0.281 0.437
Ac3 Ac 0.216 0.856 0.289
Ac4 Ac 0.360 0.428 0.149
Ac5 Ac 0.432 0.717 0.579
Ac6 Ac 0.506 0.003 0.005
Ac7 Ac 0.645 0.558 0.860
Ac8 Ac 0.928 0.715 0.574
Tb1 Tb 0.288 0.146 0.718
Y1 Y 0.141 0.559 0.861
Y2 Y 0.572 0.278 0.435
Y3 Y 0.716 0.858 0.292
Y4 Y 0.788 0.147 0.718
Y5 Y 0.860 0.430 0.149
```

---

4.
A relaxed structure of LiDyGaGe. Source: the Alexandria database, functional PBE-GGA.

Results
Calculated volume, A^3/atom: 19.95
Total energy, eV per atom: -3.975
Formation energy, eV/atom: -0.435
Density of states at the Fermi level, states/eV/f.u.: 1.883
Total magnetic moment, Bohr magnetons per cell: 0.00

Structure (CIF):
```
data_LiDyGaGe
_symmetry_space_group_name_H-M 'F -4 3 m'
_symmetry_Int_Tables_number 216
_symmetry_space_group_name_Hall 'F -4 2 3'
_cell_length_a 6.834
_cell_length_b 6.834
_cell_length_c 6.834
_cell_angle_alpha 90.00
_cell_angle_beta 90.00
_cell_angle_gamma 90.00
loop_
_atom_site_label
_atom_site_type_symbol
_atom_site_fract_x
_atom_site_fract_y
_atom_site_fract_z
Li1 Li 0.000 0.000 0.000
Dy1 Dy 0.000 0.000 0.500
Ga1 Ga 0.250 0.250 0.750
Ge1 Ge 0.250 0.250 0.250
```

---

5.
A relaxed structure of TaCrSn2. Source: the Alexandria database, functional PBE-GGA.

Results
Calculated volume, A^3/atom: 18.43
Total energy, eV per atom: -6.843
Formation energy, eV/atom: 0.528
Density of states at the Fermi level, states/eV/f.u.: 3.247
Total magnetic moment, Bohr magnetons per cell: 0.00
Energy above the lowest structure with this stoichiometry, meV per atom: 0.0

Structure (CIF):
```
data_TaCrSn2
_symmetry_space_group_name_H-M 'F m -3 m'
_symmetry_Int_Tables_number 225
_symmetry_space_group_name_Hall '-F 4 2 3'
_cell_length_a 6.656
_cell_length_b 6.656
_cell_length_c 6.656
_cell_angle_alpha 90.00
_cell_angle_beta 90.00
_cell_angle_gamma 90.00
loop_
_atom_site_label
_atom_site_type_symbol
_atom_site_fract_x
_atom_site_fract_y
_atom_site_fract_z
Ta1 Ta 0.000 0.000 0.000
Cr1 Cr 0.000 0.000 0.500
Sn1 Sn 0.250 0.250 0.250
```

---

6.
A relaxed structure of Li2CuIO4. Source: the Alexandria database, functional PBE-GGA.

Results
Calculated volume, A^3/atom: 13.59
Total energy, eV per atom: -4.614
Total magnetic moment, Bohr magnetons per cell: 0.13
Formation energy without anion corrections, meV/atom: -950

Structure (CIF):
```
data_Li2CuIO4
_symmetry_space_group_name_H-M 'P m n 21'
_symmetry_Int_Tables_number 31
_symmetry_space_group_name_Hall 'P 2ac -2'
_cell_length_a 6.724
_cell_length_b 5.554
_cell_length_c 5.821
_cell_angle_alpha 90.00
_cell_angle_beta 90.00
_cell_angle_gamma 90.00
loop_
_atom_site_label
_atom_site_type_symbol
_atom_site_fract_x
_atom_site_fract_y
_atom_site_fract_z
Li1 Li 0.241 0.168 0.000
Cu1 Cu 0.000 0.321 0.470
I1 I 0.000 0.690 0.893
O1 O 0.000 0.345 0.878
O2 O 0.000 0.672 0.562
O3 O 0.236 0.153 0.348
```

---

7.
A relaxed structure of SmY2In. Source: the Alexandria database, functional PBE-GGA.

Results
Calculated volume, A^3/atom: 29.30
Total energy, eV per atom: -5.222
Formation energy, eV/atom: -0.126
Density of states at the Fermi level, states/eV/f.u.: 5.775
Total magnetic moment, Bohr magnetons per cell: 6.29
Energy above the lowest structure with this stoichiometry, meV per atom: 149.7

Structure (CIF):
```
data_SmY2In
_symmetry_space_group_name_H-M 'F m -3 m'
_symmetry_Int_Tables_number 225
_symmetry_space_group_name_Hall '-F 4 2 3'
_cell_length_a 7.768
_cell_length_b 7.768
_cell_length_c 7.768
_cell_angle_alpha 90.00
_cell_angle_beta 90.00
_cell_angle_gamma 90.00
loop_
_atom_site_label
_atom_site_type_symbol
_atom_site_fract_x
_atom_site_fract_y
_atom_site_fract_z
Sm1 Sm 0.000 0.000 0.000
Y1 Y 0.250 0.250 0.250
In1 In 0.000 0.000 0.500
```

---

8.
A relaxed structure of K2FeCuBr6. Source: the Alexandria database, functional PBE-GGA.

Results
Calculated volume, A^3/atom: 28.74
Total energy, eV per atom: -3.380
Density of states at the Fermi level, states/eV/f.u.: 5.847
Total magnetic moment, Bohr magnetons per cell: 8.23
Formation energy without anion corrections, meV/atom: -901

Structure (CIF):
```
data_K2FeCuBr6
_symmetry_space_group_name_H-M 'P 1 21/c 1'
_symmetry_Int_Tables_number 14
_symmetry_space_group_name_Hall '-P 2ybc'
_cell_length_a 7.101
_cell_length_b 7.160
_cell_length_c 13.296
_cell_angle_alpha 90.00
_cell_angle_beta 121.76
_cell_angle_gamma 90.00
loop_
_atom_site_label
_atom_site_type_symbol
_atom_site_fract_x
_atom_site_fract_y
_atom_site_fract_z
K1 K 0.238 0.032 0.250
Fe1 Fe 0.500 0.000 0.000
Cu1 Cu 0.000 0.000 0.500
Br1 Br 0.174 0.202 0.983
Br2 Br 0.284 0.689 0.988
Br3 Br 0.308 0.504 0.277
```

---

9.
A relaxed structure of Pr2NdPdO5. Source: the Alexandria database, functional PBE-GGA.

Results
Calculated volume, A^3/atom: 14.86
Total energy, eV per atom: -7.358
Density of states at the Fermi level, states/eV/f.u.: 0.584
Total magnetic moment, Bohr magnetons per cell: 2.00
Formation energy without anion corrections, meV/atom: -2435

Structure (CIF):
```
data_Pr2NdPdO5
_symmetry_space_group_name_H-M 'P 4/m b m'
_symmetry_Int_Tables_number 127
_symmetry_space_group_name_Hall '-P 4 2ab'
_cell_length_a 6.687
_cell_length_b 6.687
_cell_length_c 5.983
_cell_angle_alpha 90.00
_cell_angle_beta 90.00
_cell_angle_gamma 90.00
loop_
_atom_site_label
_atom_site_type_symbol
_atom_site_fract_x
_atom_site_fract_y
_atom_site_fract_z
Pr1 Pr 0.164 0.336 0.000
Nd1 Nd 0.000 0.000 0.500
Pd1 Pd 0.000 0.500 0.500
O1 O 0.000 0.000 0.000
O2 O 0.166 0.666 0.262
```

---

10.
A relaxed structure of PuICl2. Source: the Alexandria database, functional PBE-GGA.

Results
Calculated volume, A^3/atom: 36.66
Total energy, eV per atom: -6.484
Density of states at the Fermi level, states/eV/f.u.: 11.672
Total magnetic moment, Bohr magnetons per cell: 20.00
Energy above the lowest structure with this stoichiometry, meV per atom: 8.5
Formation energy without anion corrections, meV/atom: -1590

Structure (CIF):
```
data_PuICl2
_symmetry_space_group_name_H-M 'C 1 c 1'
_symmetry_Int_Tables_number 9
_symmetry_space_group_name_Hall 'C -2yc'
_cell_length_a 12.171
_cell_length_b 7.323
_cell_length_c 7.902
_cell_angle_alpha 90.00
_cell_angle_beta 123.61
_cell_angle_gamma 90.00
loop_
_atom_site_label
_atom_site_type_symbol
_atom_site_fract_x
_atom_site_fract_y
_atom_site_fract_z
Pu1 Pu 0.000 0.227 0.000
I1 I 0.412 0.092 0.762
Cl1 Cl 0.058 0.069 0.746
Cl2 Cl 0.244 0.377 0.244
```

---

11.
A relaxed structure of Zr2Be2Ga. Source: the Alexandria database, functional PBE-GGA.

Results
Calculated volume, A^3/atom: 15.58
Total energy, eV per atom: -5.888
Formation energy, eV/atom: -0.373
Density of states at the Fermi level, states/eV/f.u.: 2.614
Total magnetic moment, Bohr magnetons per cell: 0.00

Structure (CIF):
```
data_Zr2Be2Ga
_symmetry_space_group_name_H-M 'P 4/m b m'
_symmetry_Int_Tables_number 127
_symmetry_space_group_name_Hall '-P 4 2ab'
_cell_length_a 6.315
_cell_length_b 6.315
_cell_length_c 3.908
_cell_angle_alpha 90.00
_cell_angle_beta 90.00
_cell_angle_gamma 90.00
loop_
_atom_site_label
_atom_site_type_symbol
_atom_site_fract_x
_atom_site_fract_y
_atom_site_fract_z
Zr1 Zr 0.170 0.330 0.000
Be1 Be 0.122 0.622 0.500
Ga1 Ga 0.000 0.000 0.500
```

---

12.
A relaxed structure of Mg2ReRu. Source: the Alexandria database, functional PBE-GGA.

Results
Calculated volume, A^3/atom: 15.85
Total energy, eV per atom: -5.894
Formation energy, eV/atom: 0.334
Density of states at the Fermi level, states/eV/f.u.: 3.942
Total magnetic moment, Bohr magnetons per cell: 0.00
Energy above the lowest structure with this stoichiometry, meV per atom: 322.4

Structure (CIF):
```
data_Mg2ReRu
_symmetry_space_group_name_H-M 'I 4/m m m'
_symmetry_Int_Tables_number 139
_symmetry_space_group_name_Hall '-I 4 2'
_cell_length_a 3.797
_cell_length_b 3.797
_cell_length_c 8.792
_cell_angle_alpha 90.00
_cell_angle_beta 90.00
_cell_angle_gamma 90.00
loop_
_atom_site_label
_atom_site_type_symbol
_atom_site_fract_x
_atom_site_fract_y
_atom_site_fract_z
Mg1 Mg 0.000 0.500 0.250
Re1 Re 0.000 0.000 0.000
Ru1 Ru 0.000 0.000 0.500
```